A relaxed structure of La2NiCBr, computed with PBE.

Energy relative to the elements, uncorrected, meV per atom: -617
Magnetization, μB/atom: 0.0014
DFT total energy, eV/atom: -5.92

Cell lengths 5.3860, 5.3860, 3.6641 Å; angles 90.00, 90.00, 90.00 degrees
Space group P4/mmm (No. 123)
One atom of each set of equivalent atoms:
La 0.0000 0.5000 0.0000 [2 per cell]
Ni 0.0000 0.0000 0.5000 [1 per cell]
C 0.0000 0.0000 0.0000 [1 per cell]
Br 0.5000 0.5000 0.5000 [1 per cell]